No. 1
DFT (PBE) results for crystalline Pa2TiO7 at its relaxed geometry.

Structure (extended XYZ):
```
10
Lattice="1.923 1.110 9.785 -1.923 1.110 9.785 0.000 -2.221 9.785" Properties=species:S:1:pos:R:3 pbc="T T T"
Pa 0.000 0.000 2.102
Pa 0.000 0.000 27.252
Ti 0.000 0.000 14.677
O 0.000 0.000 0.000
O 0.000 0.000 4.382
O 0.000 0.000 8.073
O 0.000 0.000 12.742
O 0.000 0.000 16.613
O 0.000 0.000 21.282
O 0.000 0.000 24.973
```

Formation energy from raw total energies in eV/atom: -3.275
Space group: R-3m (166)

---

No. 2
DFT (PBE) results for crystalline PaTi2O at its relaxed geometry.

Structure (extended XYZ):
```
4
Lattice="2.790 0.000 0.000 0.000 2.790 0.000 0.000 0.000 7.677" Properties=species:S:1:pos:R:3 pbc="T T T"
Pa 0.000 0.000 0.000
Ti 1.395 1.395 2.476
Ti 1.395 1.395 5.201
O 0.000 0.000 3.838
```

Formation energy from raw total energies in eV/atom: -0.706
Space group: P4/mmm (123)

---

No. 3
DFT (PBE) results for crystalline Pa3Ti5O12 at its relaxed geometry.

Structure (extended XYZ):
```
80
Lattice="-6.323 6.323 6.323 6.323 -6.323 6.323 6.323 6.323 -6.323" Properties=species:S:1:pos:R:3 pbc="T T T"
Pa 3.162 1.581 0.000
Pa 6.323 3.162 -1.581
Pa 1.581 0.000 3.162
Pa 7.904 0.000 3.162
Pa 0.000 3.162 1.581
Pa 3.162 -1.581 6.323
Pa 3.162 7.904 0.000
Pa 6.323 3.162 4.742
Pa -1.581 6.323 3.162
Pa 4.742 6.323 3.162
Pa 0.000 3.162 7.904
Pa 3.162 4.742 6.323
Ti 0.000 0.000 0.000
Ti 3.162 3.162 -3.162
Ti 3.162 -3.162 3.162
Ti 6.323 0.000 0.000
Ti 9.485 1.581 0.000
Ti 6.323 -3.162 4.742
Ti 4.742 6.323 -3.162
Ti 4.742 0.000 3.162
Ti 3.162 4.742 0.000
Ti 6.323 3.162 1.581
Ti -3.162 3.162 3.162
Ti 0.000 6.323 0.000
Ti 0.000 0.000 6.323
Ti 3.162 3.162 3.162
Ti 0.000 3.162 4.742
Ti 3.162 1.581 6.323
Ti 1.581 6.323 3.162
Ti 1.581 0.000 9.485
Ti 0.000 9.485 1.581
Ti -3.162 4.742 6.323
O 1.907 -0.373 0.789
O 7.578 3.951 -3.534
O 5.951 -0.789 1.907
O 9.858 -1.255 2.372
O 8.230 0.373 0.789
O 7.578 -2.372 3.534
O 0.789 1.907 -0.373
O 8.696 2.789 -1.255
O 3.951 3.534 -1.255
O 5.534 1.907 0.373
O -0.373 0.789 1.907
O 3.534 -1.255 3.951
O 5.951 5.534 -1.907
O 3.534 1.255 2.372
O 5.534 -1.907 5.951
O 3.951 -3.534 7.578
O 2.372 3.534 1.255
O 7.113 4.416 0.373
O 1.907 5.951 -0.789
O 7.578 2.372 2.789
O 3.534 7.578 -2.372
O 5.951 0.789 4.416
O 1.255 2.372 3.534
O 1.907 0.373 5.534
O 4.416 5.951 0.789
O 5.069 3.951 2.789
O 0.373 5.534 1.907
O 2.789 -1.255 8.696
O -1.255 3.951 3.534
O 4.416 0.373 7.113
O -0.789 1.907 5.951
O 3.951 2.789 5.069
O 2.372 9.858 -1.255
O 0.789 8.230 0.373
O 2.789 5.069 3.951
O 0.373 0.789 8.230
O 2.789 7.578 2.372
O 6.696 5.534 4.416
O 0.789 4.416 5.951
O 2.372 2.789 7.578
O -2.372 3.534 7.578
O 5.534 4.416 6.696
O -1.255 8.696 2.789
O -1.907 5.951 5.534
O -3.534 7.578 3.951
O 0.373 7.113 4.416
O -1.255 2.372 9.858
O 4.416 6.696 5.534
```

Formation energy from raw total energies in eV/atom: -2.862
Space group: Ia-3d (230)

---

No. 4
DFT (PBE) results for crystalline PaTi2O6 at its relaxed geometry.

Structure (extended XYZ):
```
9
Lattice="5.121 0.000 0.000 -2.561 4.435 0.000 0.000 0.000 4.863" Properties=species:S:1:pos:R:3 pbc="T T T"
Pa 0.000 0.000 0.000
Ti 0.000 2.957 2.431
Ti 2.561 1.478 2.431
O -0.890 1.542 3.536
O -1.670 2.893 1.327
O 1.780 0.000 3.536
O 0.890 1.542 1.327
O 3.341 0.000 1.327
O 1.670 2.893 3.536
```

Formation energy from raw total energies in eV/atom: -3.212
Space group: P-31m (162)

---

No. 5
DFT (PBE) results for crystalline PaTiO6 at its relaxed geometry.

Structure (extended XYZ):
```
8
Lattice="2.753 -3.155 0.000 2.753 3.155 0.000 -0.696 0.000 5.217" Properties=species:S:1:pos:R:3 pbc="T T T"
Pa 0.000 0.000 0.000
Ti 2.405 0.000 2.609
O 1.693 1.159 1.212
O 0.656 0.000 3.576
O 3.117 1.159 4.005
O 1.693 -1.159 1.212
O 4.153 0.000 1.641
O 3.117 -1.159 4.005
```

Formation energy from raw total energies in eV/atom: -2.242
Space group: C2/m (12)

---

No. 6
DFT (PBE) results for crystalline PaTiO4 at its relaxed geometry.

Structure (extended XYZ):
```
12
Lattice="5.186 0.000 0.000 0.000 5.277 0.000 -0.557 0.000 5.332" Properties=species:S:1:pos:R:3 pbc="T T T"
Pa 0.000 0.000 0.000
Pa -0.278 2.638 2.666
Ti 2.315 0.000 2.666
Ti 2.593 2.638 0.000
O 0.770 0.953 1.945
O 0.491 1.685 4.611
O 1.505 3.755 1.412
O 1.226 4.160 4.078
O 3.403 1.116 1.254
O 3.124 1.522 3.921
O 4.138 3.591 0.721
O 3.860 4.324 3.388
```

Formation energy from raw total energies in eV/atom: -3.194
Space group: P2_1/c (14)